# 1
# PBE-GGA TbPm2YP4, relaxed
data_TbPm2YP4
_chemical_formula_sum 'Tb1 Pm2 Y1 P4'
_cell_length_a 7.0581
_cell_length_b 4.0790
_cell_length_c 7.0610
_cell_angle_alpha 90.00
_cell_angle_beta 109.47
_cell_angle_gamma 90.00
_space_group_name_H-M_alt 'P 1 2/m 1'
_space_group_IT_number 10
_space_group_name_Hall '-P 2y'
loop_
_atom_site_label
_atom_site_fract_x
_atom_site_fract_y
_atom_site_fract_z
Tb1 0.0000 0.0000 0.0000
Pm1 0.5000 0.0000 0.5000
Pm2 0.5000 0.5000 0.0000
Y1 0.0000 0.5000 0.5000
P1 0.2433 0.0000 0.7475
P2 0.2436 0.5000 0.2481
# - Calculated formation energy: -12.7 eV/f.u.

---

# 2
# PBE-GGA Sr2SBr, relaxed
data_Sr2SBr
_chemical_formula_sum 'Sr8 S4 Br4'
_cell_length_a 6.9846
_cell_length_b 6.9846
_cell_length_c 13.6346
_cell_angle_alpha 90.00
_cell_angle_beta 90.00
_cell_angle_gamma 90.00
_space_group_name_H-M_alt 'I -4 2 d'
_space_group_IT_number 122
_space_group_name_Hall 'I -4 2bw'
loop_
_atom_site_label
_atom_site_fract_x
_atom_site_fract_y
_atom_site_fract_z
Sr1 0.2128 0.2500 0.1250
S1 0.0000 0.0000 0.0000
Br1 0.0000 0.0000 0.5000
# - Uncorrected formation energy: -1.578 eV/atom
# - Relative energy among the computed polymorphs: 195 meV per atom

---

Asked for V across the records above, the calculation gives 23.96, 41.57 Å³ per atom in order.